Material: KRhI2O
Method: DFT, SCAN
State: single point on PBEsol structure

Space group   P4/mmm, No. 123
Crystal system   tetragonal

Lattice parameters (Å, degrees): 6.0769 6.0769 4.4363 90.00 90.00 90.00
Closest atoms and distances in Å follow each position.
Fractional coordinates of all 5 atoms:
K 0.0000 0.0000 0.0000  2 O 2.22
Rh 0.5000 0.5000 0.5000  8 I 3.76
I 0.0000 0.5000 0.0000  2 K 3.04
I 0.5000 0.0000 0.0000  2 K 3.04
O 0.0000 0.0000 0.5000  2 K 2.22

=====

Material: KSiIO2
Method: DFT, SCAN
State: single point on PBEsol structure

Space group   P4/mmm, No. 123
Crystal system   tetragonal

Lattice parameters (Å, degrees): 4.4976 4.4976 6.2042 90.00 90.00 90.00
Closest atoms and distances in Å follow each position.
Fractional coordinates of all 5 atoms:
K 0.0000 0.0000 0.0000  4 O 2.25
Si 0.5000 0.5000 0.5000  4 I 3.18
I 0.0000 0.0000 0.5000  2 K 3.10, 4 Si 3.18
O 0.0000 0.5000 0.0000  2 K 2.25
O 0.5000 0.0000 0.0000  2 K 2.25

=====

Material: KSrIO2
Method: DFT, SCAN
State: single point on PBEsol structure

Space group   P4/mmm, No. 123
Crystal system   tetragonal

Lattice parameters (Å, degrees): 4.7553 4.7553 6.6328 90.00 90.00 90.00
Closest atoms and distances in Å follow each position.
Fractional coordinates of all 5 atoms:
K 0.0000 0.0000 0.0000  4 I 3.36
Sr 0.5000 0.5000 0.5000  4 O 2.38
I 0.5000 0.5000 0.0000  2 Sr 3.32, 4 K 3.36
O 0.0000 0.5000 0.5000  2 Sr 2.38
O 0.5000 0.0000 0.5000  2 Sr 2.38

=====

Material: KTe2IO
Method: DFT, SCAN
State: single point on PBEsol structure

Space group   P4/mmm, No. 123
Crystal system   tetragonal

Lattice parameters (Å, degrees): 4.5400 4.5400 7.2538 90.00 90.00 90.00
Closest atoms and distances in Å follow each position.
Fractional coordinates of all 5 atoms:
K 0.0000 0.0000 0.0000  4 I 3.21
Te 0.0000 0.5000 0.5000  2 O 2.27
Te 0.5000 0.0000 0.5000  2 O 2.27
I 0.5000 0.5000 0.0000  4 K 3.21
O 0.5000 0.5000 0.5000  4 Te 2.27

=====

Material: KTlI2O
Method: DFT, SCAN
State: single point on PBEsol structure

Space group   P4/mmm, No. 123
Crystal system   tetragonal

Lattice parameters (Å, degrees): 6.3836 6.3836 4.8149 90.00 90.00 90.00
Closest atoms and distances in Å follow each position.
Fractional coordinates of all 5 atoms:
K 0.0000 0.0000 0.0000  2 O 2.41
Tl 0.5000 0.5000 0.5000  8 I 4.00
I 0.0000 0.5000 0.0000  2 K 3.19
I 0.5000 0.0000 0.0000  2 K 3.19
O 0.0000 0.0000 0.5000  2 K 2.41

=====

Material: KVI2O8
Method: DFT, SCAN
State: single point on PBEsol structure

Space group   P2_1/c, No. 14
Crystal system   monoclinic

Lattice parameters (Å, degrees): 9.4742 5.1822 15.7562 90.00 108.95 90.00
Closest atoms and distances in Å follow each position.
Fractional coordinates of all 48 atoms:
K 0.0820 0.2216 0.4055  7 O 2.76-3.09
K 0.0820 0.2784 0.9055  7 O 2.76-3.09
K 0.9180 0.7216 0.0945  7 O 2.76-3.09
K 0.9180 0.7784 0.5945  7 O 2.76-3.09
V 0.3011 0.7169 0.3161  2 O 1.64-1.66
V 0.3011 0.7831 0.8161  2 O 1.64-1.66
V 0.6989 0.2169 0.1839  2 O 1.64-1.66
V 0.6989 0.2831 0.6839  2 O 1.64-1.66
I 0.2309 0.2223 0.1799  3 O 1.79-1.87
I 0.2309 0.2777 0.6799  3 O 1.79-1.87
I 0.4387 0.6787 0.0703  3 O 1.83-1.90
I 0.4387 0.8213 0.5703  3 O 1.83-1.90
I 0.5613 0.1787 0.4297  3 O 1.83-1.90
I 0.5613 0.3213 0.9297  3 O 1.83-1.90
I 0.7691 0.7223 0.3201  3 O 1.79-1.87
I 0.7691 0.7777 0.8201  3 O 1.79-1.87
O 0.0750 0.2351 0.0786  1 I 1.79
O 0.0750 0.2649 0.5786  1 I 1.79
O 0.1565 0.5587 0.7268  1 I 1.87, 1 V 1.99
O 0.1565 0.9413 0.2268  1 I 1.87, 1 V 1.99
O 0.1625 0.0415 0.7475  1 I 1.87, 1 V 1.94
O 0.1625 0.4585 0.2475  1 I 1.87, 1 V 1.94
O 0.2663 0.6871 0.4113  1 V 1.64
O 0.2663 0.8129 0.9113  1 V 1.64
O 0.2980 0.6650 0.1272  1 I 1.83
O 0.2980 0.8350 0.6272  1 I 1.83
O 0.3871 0.1362 0.5142  1 I 1.84
O 0.3871 0.3638 0.0142  1 I 1.84
O 0.3961 0.0543 0.3342  1 I 1.90, 1 V 1.95
O 0.3961 0.4457 0.8342  1 I 1.90, 1 V 1.95
O 0.4557 0.5546 0.3245  1 V 1.66
O 0.4557 0.9454 0.8245  1 V 1.66
O 0.5443 0.0546 0.1755  1 V 1.66
O 0.5443 0.4454 0.6755  1 V 1.66
O 0.6039 0.5543 0.1658  1 I 1.90, 1 V 1.95
O 0.6039 0.9457 0.6658  1 I 1.90, 1 V 1.95
O 0.6129 0.6362 0.9858  1 I 1.84
O 0.6129 0.8638 0.4858  1 I 1.84
O 0.7020 0.1650 0.3728  1 I 1.83
O 0.7020 0.3350 0.8728  1 I 1.83
O 0.7337 0.1871 0.0887  1 V 1.64
O 0.7337 0.3129 0.5887  1 V 1.64
O 0.8375 0.5415 0.7525  1 I 1.87, 1 V 1.94
O 0.8375 0.9585 0.2525  1 I 1.87, 1 V 1.94
O 0.8435 0.0587 0.7732  1 I 1.87, 1 V 1.99
O 0.8435 0.4413 0.2732  1 I 1.87, 1 V 1.99
O 0.9250 0.7351 0.4214  1 I 1.79
O 0.9250 0.7649 0.9214  1 I 1.79

=====

no.,magnetization (μB/atom),raw formation energy (eV per atom)
1,0.80,0.774
2,0.40,0.804
3,0.40,-1.290
4,0.00,-0.438
5,0.41,-0.259
6,0.00,-1.262